The following is a DFT calculation (PBE-GGA) of an optimized crystal structure of Cu5Ag4.

The structure in CIF format:
```
data_Cu5Ag4
_cell_length_a 2.7810
_cell_length_b 2.7810
_cell_length_c 19.7687
_cell_angle_alpha 90.00
_cell_angle_beta 90.00
_cell_angle_gamma 120.00
_space_group_name_H-M_alt 'P 3 m 1'
_space_group_IT_number 156
loop_
_space_group_symop_operation_xyz
'x,y,z'
'-y,x-y,z'
'-x+y,-x,z'
'-y,-x,z'
'-x+y,y,z'
'x,x-y,z'
loop_
_atom_site_label
_atom_site_type_symbol
_atom_site_fract_x
_atom_site_fract_y
_atom_site_fract_z
Cu1 Cu 0.0000 0.0000 0.0000
Cu2 Cu 0.0000 0.0000 0.3235
Cu3 Cu 0.0000 0.0000 0.6488
Cu4 Cu 0.3333 0.6667 0.2253
Cu5 Cu 0.3333 0.6667 0.5508
Ag1 Ag 0.3333 0.6667 0.8881
Ag2 Ag 0.6667 0.3333 0.1121
Ag3 Ag 0.6667 0.3333 0.4371
Ag4 Ag 0.6667 0.3333 0.7617
```

Summary:
E (eV/cell): -28.905



The following is a DFT calculation (PBE-GGA) of an optimized crystal structure of Y2Al4IrPt.

The structure in CIF format:
```
data_Y2Al4IrPt
_cell_length_a 7.0806
_cell_length_b 4.2038
_cell_length_c 10.3346
_cell_angle_alpha 90.00
_cell_angle_beta 90.00
_cell_angle_gamma 90.00
_space_group_name_H-M_alt 'A m m 2'
_space_group_IT_number 38
loop_
_space_group_symop_operation_xyz
'x,y,z'
'-x,-y,z'
'-x,y,z'
'x,-y,z'
'x,y+1/2,z+1/2'
'-x,-y+1/2,z+1/2'
'-x,y+1/2,z+1/2'
'x,-y+1/2,z+1/2'
loop_
_atom_site_label
_atom_site_type_symbol
_atom_site_fract_x
_atom_site_fract_y
_atom_site_fract_z
Y1 Y 0.0000 0.0000 0.0000
Y2 Y 0.5000 0.0000 0.1330
Al1 Al 0.1970 0.0000 0.7173
Al2 Al 0.3061 0.0000 0.4156
Ir1 Ir 0.5000 0.0000 0.8522
Pt1 Pt 0.0000 0.0000 0.2822
```

Summary:
E (eV/cell): -100.496



The following is a DFT calculation (PBE-GGA) of an optimized crystal structure of ThTlB4.

The structure in CIF format:
```
data_ThTlB4
_cell_length_a 3.2619
_cell_length_b 3.2619
_cell_length_c 9.0669
_cell_angle_alpha 90.00
_cell_angle_beta 90.00
_cell_angle_gamma 120.00
_space_group_name_H-M_alt 'P 6/m m m'
_space_group_IT_number 191
_space_group_name_Hall '-P 6 2'
loop_
_atom_site_label
_atom_site_type_symbol
_atom_site_fract_x
_atom_site_fract_y
_atom_site_fract_z
Th1 Th 0.0000 0.0000 0.0000
Tl1 Tl 0.0000 0.0000 0.5000
B1 B 0.3333 0.6667 0.2234
```

Summary:
E (eV/cell): -35.279



The following is a DFT calculation (PBE-GGA) of an optimized crystal structure of OsPb.

The structure in CIF format:
```
data_OsPb
_cell_length_a 5.5477
_cell_length_b 5.5477
_cell_length_c 5.5477
_cell_angle_alpha 90.00
_cell_angle_beta 90.00
_cell_angle_gamma 90.00
_space_group_name_H-M_alt 'F m -3 m'
_space_group_IT_number 225
_space_group_name_Hall '-F 4 2 3'
loop_
_atom_site_label
_atom_site_type_symbol
_atom_site_fract_x
_atom_site_fract_y
_atom_site_fract_z
Os1 Os 0.0000 0.0000 0.0000
Pb1 Pb 0.0000 0.0000 0.5000
```

Summary:
E (eV/cell): -47.411



The following is a DFT calculation (PBE-GGA) of an optimized crystal structure of Ba2ReIrS6.

The structure in CIF format:
```
data_Ba2ReIrS6
_cell_length_a 6.5810
_cell_length_b 6.5810
_cell_length_c 10.3175
_cell_angle_alpha 90.00
_cell_angle_beta 90.00
_cell_angle_gamma 90.00
_space_group_name_H-M_alt 'I 4/m m m'
_space_group_IT_number 139
_space_group_name_Hall '-I 4 2'
loop_
_atom_site_label
_atom_site_type_symbol
_atom_site_fract_x
_atom_site_fract_y
_atom_site_fract_z
Ba1 Ba 0.0000 0.5000 0.2500
Re1 Re 0.0000 0.0000 0.0000
Ir1 Ir 0.0000 0.0000 0.5000
S1 S 0.0000 0.0000 0.2474
S2 S 0.2492 0.2492 0.0000
```

Summary:
E (eV/cell): -113.842



The following is a DFT calculation (PBE-GGA) of an optimized crystal structure of ZrSc3Hg2C2.

The structure in CIF format:
```
data_ZrSc3Hg2C2
_cell_length_a 3.3506
_cell_length_b 3.3506
_cell_length_c 15.0062
_cell_angle_alpha 90.00
_cell_angle_beta 90.00
_cell_angle_gamma 120.00
_space_group_name_H-M_alt 'P 3 m 1'
_space_group_IT_number 156
loop_
_space_group_symop_operation_xyz
'x,y,z'
'-y,x-y,z'
'-x+y,-x,z'
'-y,-x,z'
'-x+y,y,z'
'x,x-y,z'
loop_
_atom_site_label
_atom_site_type_symbol
_atom_site_fract_x
_atom_site_fract_y
_atom_site_fract_z
Zr1 Zr 0.0000 0.0000 0.0000
Sc1 Sc 0.0000 0.0000 0.3354
Sc2 Sc 0.3333 0.6667 0.4985
Sc3 Sc 0.3333 0.6667 0.8331
Hg1 Hg 0.0000 0.0000 0.6674
Hg2 Hg 0.3333 0.6667 0.1670
C1 C 0.6667 0.3333 0.4179
C2 C 0.6667 0.3333 0.9189
```

Summary:
E (eV/cell): -50.703